Compound: CsSnW3
Source: Alexandria via LeMat-Bulk
Functional: PBE-GGA
Structure: relaxed

Unit cell a=5.153 b=5.153 c=5.153 alpha=90.00 beta=90.00 gamma=90.00
Space group Pm-3m (No. 221)
Asymmetric unit:
Cs 0.000 0.000 0.000 x1
Sn 0.500 0.500 0.500 x1
W 0.000 0.500 0.500 x3

Values from the calculation:
E above lowest polymorph ... 0 meV per atom
Theoretical density ... 9.75 g/cm³
Fermi-level density of states ... 7.57 states/eV per cell


Compound: CsZrSn2W
Source: Alexandria via LeMat-Bulk
Functional: PBE-GGA
Structure: relaxed

Unit cell a=5.713 b=5.713 c=5.119 alpha=90.00 beta=90.00 gamma=90.00
Space group P4/mmm (No. 123)
Asymmetric unit:
Cs 0.000 0.000 0.000 x1
Zr 0.500 0.500 0.500 x1
Sn 0.000 0.500 0.000 x2
W 0.000 0.000 0.500 x1

Values from the calculation:
Theoretical density ... 6.41 g/cm³
Fermi-level density of states ... 6.30 states/eV per cell


Compound: Cs2YSn
Source: Alexandria via LeMat-Bulk
Functional: PBE-GGA
Structure: relaxed

Unit cell a=14.395 b=14.395 c=5.913 alpha=90.00 beta=90.00 gamma=90.00
Space group I-42d (No. 122)
Asymmetric unit:
Cs 0.096 0.750 0.125 x8
Y 0.000 0.000 0.500 x4
Sn 0.000 0.000 0.000 x4

Values from the calculation:
E above lowest polymorph ... 0 meV per atom
Theoretical density ... 2.57 g/cm³
Fermi-level density of states ... 6.37 states/eV per cell


Compound: CsY2Sn2
Source: Alexandria via LeMat-Bulk
Functional: PBE-GGA
Structure: relaxed

Unit cell a=9.508 b=9.508 c=3.510 alpha=90.00 beta=90.00 gamma=90.00
Space group P4/mbm (No. 127)
Asymmetric unit:
Cs 0.000 0.000 0.000 x2
Y 0.133 0.367 0.000 x4
Sn 0.159 0.659 0.500 x4

Values from the calculation:
E above lowest polymorph ... 0 meV per atom
Theoretical density ... 5.74 g/cm³
Fermi-level density of states ... 6.07 states/eV per cell


no.,calculated formation energy (eV per atom),calculated volume (Å³/cell)
1,2.97,136.8
2,2.65,167.1
3,0.25,1225.3
4,-0.43,317.3